# 1
# KV2InO6 | Alexandria via LeMat-Bulk | GGA+U | optimized geometry
# crystal system: monoclinic
# M_tot: 0.000 μB/cell
# V: 185 Å³/f.u.
data_KV2InO6
_cell_length_a 6.062
_cell_length_b 7.918
_cell_length_c 7.918
_cell_angle_alpha 87.22
_cell_angle_beta 80.30
_cell_angle_gamma 80.30
_space_group_name_H-M_alt 'P 1'
_space_group_IT_number 1
loop_
_space_group_symop_operation_xyz
'x,y,z'
loop_
_atom_site_label
_atom_site_fract_x
_atom_site_fract_y
_atom_site_fract_z
_atom_site_occupancy
O1 0.992 0.303 0.328 1
In1 0.250 0.295 0.705 1
V1 0.256 0.806 0.640 1
O2 0.320 0.862 0.433 1
V2 0.744 0.194 0.360 1
O3 0.680 0.138 0.567 1
O4 0.307 0.237 0.016 1
O5 0.180 0.567 0.138 1
V3 0.244 0.360 0.194 1
O6 0.492 0.328 0.303 1
K1 0.250 0.896 0.104 1
K2 0.750 0.104 0.896 1
O7 0.820 0.433 0.862 1
O8 0.193 0.984 0.763 1
O9 0.008 0.697 0.672 1
O10 0.693 0.763 0.984 1
In2 0.750 0.705 0.295 1
V4 0.756 0.640 0.806 1
O11 0.508 0.672 0.697 1
O12 0.807 0.016 0.237 1


# 2
# K2VIn2O6 | Alexandria via LeMat-Bulk | GGA+U | optimized geometry
# crystal system: monoclinic
# M_tot: 1.000 μB/cell
# V: 168 Å³/f.u.
data_K2VIn2O6
_cell_length_a 5.531
_cell_length_b 5.531
_cell_length_c 6.577
_cell_angle_alpha 98.40
_cell_angle_beta 98.40
_cell_angle_gamma 119.03
_space_group_name_H-M_alt 'P 1'
_space_group_IT_number 1
loop_
_space_group_symop_operation_xyz
'x,y,z'
loop_
_atom_site_label
_atom_site_fract_x
_atom_site_fract_y
_atom_site_fract_z
_atom_site_occupancy
O1 0.638 0.942 0.327 1
O2 0.058 0.362 0.673 1
In1 0.335 0.665 0.500 1
O3 0.246 0.246 0.328 1
K1 0.831 0.169 0.000 1
O4 0.754 0.754 0.672 1
V1 0.000 0.000 0.500 1
O5 0.362 0.058 0.673 1
O6 0.942 0.638 0.327 1
K2 0.169 0.831 0.000 1
In2 0.665 0.335 0.500 1


no.,energy (eV/cell)
1,-132.39
2,-63.33